Record 1
# PBE-GGA CdW2Au, relaxed
# SG: P4/mmm, No. 123
# E above lowest polymorph: 533 meV per atom
data_CdW2Au
_symmetry_space_group_name_H-M 'P 1'
_symmetry_Int_Tables_number 1
_cell_length_a 3.4658
_cell_length_b 3.4658
_cell_length_c 5.9779
_cell_angle_alpha 90.00
_cell_angle_beta 90.00
_cell_angle_gamma 90.00
loop_
_symmetry_equiv_pos_as_xyz
'x,y,z'
loop_
_atom_site_label
_atom_site_type_symbol
_atom_site_fract_x
_atom_site_fract_y
_atom_site_fract_z
Cd1 Cd 0.0000 0.0000 0.0000
W1 W 0.5000 0.5000 0.2877
W2 W 0.5000 0.5000 0.7123
Au1 Au 0.0000 0.0000 0.5000

---

Record 2
# PBE-GGA CdW2Au, relaxed
# SG: P4mm, No. 99
# E above lowest polymorph: 117 meV per atom
data_CdW2Au
_symmetry_space_group_name_H-M 'P 1'
_symmetry_Int_Tables_number 1
_cell_length_a 3.3102
_cell_length_b 3.3102
_cell_length_c 6.5640
_cell_angle_alpha 90.00
_cell_angle_beta 90.00
_cell_angle_gamma 90.00
loop_
_symmetry_equiv_pos_as_xyz
'x,y,z'
loop_
_atom_site_label
_atom_site_type_symbol
_atom_site_fract_x
_atom_site_fract_y
_atom_site_fract_z
Cd1 Cd 0.0000 0.0000 0.0000
W1 W 0.0000 0.0000 0.4748
W2 W 0.5000 0.5000 0.2905
Au1 Au 0.5000 0.5000 0.7496

---

Record 3
# PBE-GGA Cd2WAu, relaxed
# SG: I-42d, No. 122
# E above lowest polymorph: 628 meV per atom
data_Cd2WAu
_symmetry_space_group_name_H-M 'P 1'
_symmetry_Int_Tables_number 1
_cell_length_a 7.6154
_cell_length_b 7.6154
_cell_length_c 5.6376
_cell_angle_alpha 90.00
_cell_angle_beta 90.00
_cell_angle_gamma 90.00
loop_
_symmetry_equiv_pos_as_xyz
'x,y,z'
loop_
_atom_site_label
_atom_site_type_symbol
_atom_site_fract_x
_atom_site_fract_y
_atom_site_fract_z
Cd1 Cd 0.2422 0.7500 0.1250
Cd2 Cd 0.2500 0.2422 0.8750
Cd3 Cd 0.2500 0.2578 0.3750
Cd4 Cd 0.2578 0.7500 0.6250
Cd5 Cd 0.7422 0.2500 0.6250
Cd6 Cd 0.7500 0.7422 0.3750
Cd7 Cd 0.7500 0.7578 0.8750
Cd8 Cd 0.7578 0.2500 0.1250
W1 W 0.0000 0.0000 0.5000
W2 W 0.0000 0.5000 0.7500
W3 W 0.5000 0.0000 0.2500
W4 W 0.5000 0.5000 0.0000
Au1 Au 0.0000 0.0000 0.0000
Au2 Au 0.0000 0.5000 0.2500
Au3 Au 0.5000 0.0000 0.7500
Au4 Au 0.5000 0.5000 0.5000

---

Record 4
# PBE-GGA Cd2WAu, relaxed
# SG: Pmmm, No. 47
# E above lowest polymorph: 239 meV per atom
data_Cd2WAu
_symmetry_space_group_name_H-M 'P 1'
_symmetry_Int_Tables_number 1
_cell_length_a 2.9019
_cell_length_b 5.0552
_cell_length_c 5.1134
_cell_angle_alpha 90.00
_cell_angle_beta 90.00
_cell_angle_gamma 90.00
loop_
_symmetry_equiv_pos_as_xyz
'x,y,z'
loop_
_atom_site_label
_atom_site_type_symbol
_atom_site_fract_x
_atom_site_fract_y
_atom_site_fract_z
Cd1 Cd 0.0000 0.0000 0.0000
Cd2 Cd 0.5000 0.0000 0.5000
W1 W 0.0000 0.5000 0.5000
Au1 Au 0.5000 0.5000 0.0000

---

Record 5
# PBE-GGA CdW2Au, relaxed
# SG: I-4m2, No. 119
# E above lowest polymorph: 330 meV per atom
data_CdW2Au
_symmetry_space_group_name_H-M 'P 1'
_symmetry_Int_Tables_number 1
_cell_length_a 4.1450
_cell_length_b 4.1450
_cell_length_c 8.0083
_cell_angle_alpha 90.00
_cell_angle_beta 90.00
_cell_angle_gamma 90.00
loop_
_symmetry_equiv_pos_as_xyz
'x,y,z'
loop_
_atom_site_label
_atom_site_type_symbol
_atom_site_fract_x
_atom_site_fract_y
_atom_site_fract_z
Cd1 Cd 0.0000 0.0000 0.0000
Cd2 Cd 0.5000 0.5000 0.5000
W1 W 0.0000 0.0000 0.5000
W2 W 0.0000 0.5000 0.7500
W3 W 0.5000 0.0000 0.2500
W4 W 0.5000 0.5000 0.0000
Au1 Au 0.0000 0.5000 0.2500
Au2 Au 0.5000 0.0000 0.7500

---

Record 6
# PBE-GGA Cd2WAu, relaxed
# SG: Imm2, No. 44
# E above lowest polymorph: 188 meV per atom
data_Cd2WAu
_symmetry_space_group_name_H-M 'P 1'
_symmetry_Int_Tables_number 1
_cell_length_a 2.8158
_cell_length_b 5.1636
_cell_length_c 10.6712
_cell_angle_alpha 90.00
_cell_angle_beta 90.00
_cell_angle_gamma 90.00
loop_
_symmetry_equiv_pos_as_xyz
'x,y,z'
loop_
_atom_site_label
_atom_site_type_symbol
_atom_site_fract_x
_atom_site_fract_y
_atom_site_fract_z
Cd1 Cd 0.0000 0.0000 0.0000
Cd2 Cd 0.0000 0.5000 0.2236
Cd3 Cd 0.5000 0.0000 0.7236
Cd4 Cd 0.5000 0.5000 0.5000
W1 W 0.0000 0.5000 0.7451
W2 W 0.5000 0.0000 0.2451
Au1 Au 0.0000 0.0000 0.4688
Au2 Au 0.5000 0.5000 0.9688

---

Record 7
# PBE-GGA CdW2Au, relaxed
# SG: P4/mmm, No. 123
# E above lowest polymorph: 620 meV per atom
data_CdW2Au
_symmetry_space_group_name_H-M 'P 1'
_symmetry_Int_Tables_number 1
_cell_length_a 4.9668
_cell_length_b 4.9668
_cell_length_c 2.8225
_cell_angle_alpha 90.00
_cell_angle_beta 90.00
_cell_angle_gamma 90.00
loop_
_symmetry_equiv_pos_as_xyz
'x,y,z'
loop_
_atom_site_label
_atom_site_type_symbol
_atom_site_fract_x
_atom_site_fract_y
_atom_site_fract_z
Cd1 Cd 0.0000 0.0000 0.0000
W1 W 0.0000 0.5000 0.5000
W2 W 0.5000 0.0000 0.5000
Au1 Au 0.5000 0.5000 0.0000

---

Record 8
# PBE-GGA CdW2Au, relaxed
# SG: I-42d, No. 122
# E above lowest polymorph: 607 meV per atom
data_CdW2Au
_symmetry_space_group_name_H-M 'P 1'
_symmetry_Int_Tables_number 1
_cell_length_a 3.8203
_cell_length_b 3.8203
_cell_length_c 20.5726
_cell_angle_alpha 90.00
_cell_angle_beta 90.00
_cell_angle_gamma 90.00
loop_
_symmetry_equiv_pos_as_xyz
'x,y,z'
loop_
_atom_site_label
_atom_site_type_symbol
_atom_site_fract_x
_atom_site_fract_y
_atom_site_fract_z
Cd1 Cd 0.0000 0.0000 0.0000
Cd2 Cd 0.0000 0.5000 0.2500
Cd3 Cd 0.5000 0.0000 0.7500
Cd4 Cd 0.5000 0.5000 0.5000
W1 W 0.2494 0.2500 0.1250
W2 W 0.2500 0.7494 0.3750
W3 W 0.2500 0.7506 0.8750
W4 W 0.2506 0.2500 0.6250
W5 W 0.7494 0.7500 0.6250
W6 W 0.7500 0.2494 0.8750
W7 W 0.7500 0.2506 0.3750
W8 W 0.7506 0.7500 0.1250
Au1 Au 0.0000 0.0000 0.5000
Au2 Au 0.0000 0.5000 0.7500
Au3 Au 0.5000 0.0000 0.2500
Au4 Au 0.5000 0.5000 0.0000

---

Record 9
# PBE-GGA Cd2WAu, relaxed
# SG: R-3m, No. 166
# E above lowest polymorph: 43 meV per atom
data_Cd2WAu
_symmetry_space_group_name_H-M 'P 1'
_symmetry_Int_Tables_number 1
_cell_length_a 2.9494
_cell_length_b 2.9494
_cell_length_c 29.5026
_cell_angle_alpha 90.00
_cell_angle_beta 90.00
_cell_angle_gamma 120.00
loop_
_symmetry_equiv_pos_as_xyz
'x,y,z'
loop_
_atom_site_label
_atom_site_type_symbol
_atom_site_fract_x
_atom_site_fract_y
_atom_site_fract_z
Cd1 Cd 0.0000 0.0000 0.2502
Cd2 Cd 0.0000 0.0000 0.7498
Cd3 Cd 0.3333 0.6667 0.4165
Cd4 Cd 0.3333 0.6667 0.9169
Cd5 Cd 0.6667 0.3333 0.0831
Cd6 Cd 0.6667 0.3333 0.5835
W1 W 0.0000 0.0000 0.0000
W2 W 0.3333 0.6667 0.6667
W3 W 0.6667 0.3333 0.3333
Au1 Au 0.0000 0.0000 0.5000
Au2 Au 0.3333 0.6667 0.1667
Au3 Au 0.6667 0.3333 0.8333

---

Record 10
# PBE-GGA Cd2WAu, relaxed
# SG: Cmm2, No. 35
# E above lowest polymorph: 4 meV per atom
data_Cd2WAu
_symmetry_space_group_name_H-M 'P 1'
_symmetry_Int_Tables_number 1
_cell_length_a 4.0380
_cell_length_b 4.0971
_cell_length_c 9.0122
_cell_angle_alpha 90.00
_cell_angle_beta 90.00
_cell_angle_gamma 90.00
loop_
_symmetry_equiv_pos_as_xyz
'x,y,z'
loop_
_atom_site_label
_atom_site_type_symbol
_atom_site_fract_x
_atom_site_fract_y
_atom_site_fract_z
Cd1 Cd 0.0000 0.0000 0.0000
Cd2 Cd 0.0000 0.5000 0.2761
Cd3 Cd 0.5000 0.0000 0.2761
Cd4 Cd 0.5000 0.5000 0.0000
W1 W 0.0000 0.5000 0.7540
W2 W 0.5000 0.0000 0.7540
Au1 Au 0.0000 0.0000 0.5284
Au2 Au 0.5000 0.5000 0.5284

---

Record 11
# PBE-GGA Cd2WAu, relaxed
# SG: Cmmm, No. 65
# E above lowest polymorph: 109 meV per atom
data_Cd2WAu
_symmetry_space_group_name_H-M 'P 1'
_symmetry_Int_Tables_number 1
_cell_length_a 6.0107
_cell_length_b 8.9844
_cell_length_c 2.7577
_cell_angle_alpha 90.00
_cell_angle_beta 90.00
_cell_angle_gamma 90.00
loop_
_symmetry_equiv_pos_as_xyz
'x,y,z'
loop_
_atom_site_label
_atom_site_type_symbol
_atom_site_fract_x
_atom_site_fract_y
_atom_site_fract_z
Cd1 Cd 0.2500 0.2500 0.0000
Cd2 Cd 0.2500 0.7500 0.0000
Cd3 Cd 0.7500 0.2500 0.0000
Cd4 Cd 0.7500 0.7500 0.0000
W1 W 0.0000 0.0000 0.5000
W2 W 0.5000 0.5000 0.5000
Au1 Au 0.0000 0.5000 0.5000
Au2 Au 0.5000 0.0000 0.5000

---

Record 12
# PBE-GGA CdW4Au, relaxed
# SG: F-43m, No. 216
data_CdW4Au
_symmetry_space_group_name_H-M 'P 1'
_symmetry_Int_Tables_number 1
_cell_length_a 5.3523
_cell_length_b 5.3523
_cell_length_c 5.3523
_cell_angle_alpha 60.00
_cell_angle_beta 60.00
_cell_angle_gamma 60.00
loop_
_symmetry_equiv_pos_as_xyz
'x,y,z'
loop_
_atom_site_label
_atom_site_type_symbol
_atom_site_fract_x
_atom_site_fract_y
_atom_site_fract_z
Cd1 Cd 0.0000 0.0000 0.0000
W1 W 0.1238 0.6254 0.6254
W2 W 0.6254 0.1238 0.6254
W3 W 0.6254 0.6254 0.1238
W4 W 0.6254 0.6254 0.6254
Au1 Au 0.2500 0.2500 0.2500

---

Record 13
# PBE-GGA Cd2WAu, relaxed
# SG: Pmm2, No. 25
# E above lowest polymorph: 169 meV per atom
data_Cd2WAu
_symmetry_space_group_name_H-M 'P 1'
_symmetry_Int_Tables_number 1
_cell_length_a 2.8553
_cell_length_b 4.3026
_cell_length_c 6.0574
_cell_angle_alpha 90.00
_cell_angle_beta 90.00
_cell_angle_gamma 90.00
loop_
_symmetry_equiv_pos_as_xyz
'x,y,z'
loop_
_atom_site_label
_atom_site_type_symbol
_atom_site_fract_x
_atom_site_fract_y
_atom_site_fract_z
Cd1 Cd 0.0000 0.0000 0.0000
Cd2 Cd 0.5000 0.5000 0.2603
W1 W 0.0000 0.0000 0.5124
Au1 Au 0.5000 0.5000 0.7322

---

Record 14
# PBE-GGA Cd2WAu, relaxed
# SG: P4/mmm, No. 123
# E above lowest polymorph: 268 meV per atom
data_Cd2WAu
_symmetry_space_group_name_H-M 'P 1'
_symmetry_Int_Tables_number 1
_cell_length_a 5.1900
_cell_length_b 5.1900
_cell_length_c 2.8148
_cell_angle_alpha 90.00
_cell_angle_beta 90.00
_cell_angle_gamma 90.00
loop_
_symmetry_equiv_pos_as_xyz
'x,y,z'
loop_
_atom_site_label
_atom_site_type_symbol
_atom_site_fract_x
_atom_site_fract_y
_atom_site_fract_z
Cd1 Cd 0.0000 0.5000 0.0000
Cd2 Cd 0.5000 0.0000 0.0000
W1 W 0.0000 0.0000 0.5000
Au1 Au 0.5000 0.5000 0.5000

---

Record 15
# PBE-GGA Cd2WAu, relaxed
# SG: Pmmm, No. 47
# E above lowest polymorph: 198 meV per atom
data_Cd2WAu
_symmetry_space_group_name_H-M 'P 1'
_symmetry_Int_Tables_number 1
_cell_length_a 2.8175
_cell_length_b 4.3640
_cell_length_c 6.0605
_cell_angle_alpha 90.00
_cell_angle_beta 90.00
_cell_angle_gamma 90.00
loop_
_symmetry_equiv_pos_as_xyz
'x,y,z'
loop_
_atom_site_label
_atom_site_type_symbol
_atom_site_fract_x
_atom_site_fract_y
_atom_site_fract_z
Cd1 Cd 0.0000 0.0000 0.2449
Cd2 Cd 0.0000 0.0000 0.7551
W1 W 0.5000 0.5000 0.0000
Au1 Au 0.5000 0.5000 0.5000

---

| no. | calculated total energy (eV per cell) | V (Å³/f.u.) | magnetic moment (μB per formula unit) |
| --- | --- | --- | --- |
| 1 | -26.85 | 71.80 | 0.0 |
| 2 | -28.52 | 71.92 | 0.0 |
| 3 | -57.45 | 81.74 | 0.0 |
| 4 | -15.92 | 75.01 | 0.5 |
| 5 | -55.33 | 68.80 | 0.0 |
| 6 | -32.25 | 77.58 | 0.0 |
| 7 | -26.50 | 69.63 | 0.0 |
| 8 | -106.22 | 75.06 | 0.0 |
| 9 | -50.11 | 74.09 | 0.0 |
| 10 | -33.72 | 74.55 | 0.0 |
| 11 | -32.88 | 74.46 | 0.0 |
| 12 | -51.74 | 108.42 | 0.0 |
| 13 | -16.20 | 74.42 | 0.0 |
| 14 | -15.81 | 75.82 | 0.0 |
| 15 | -16.09 | 74.52 | 0.4 |